VASP calculation (GGA-PBE) on Pm3SmAl4 after structural relaxation.

a = 3.6950 Å, b = 3.6950 Å, c = 14.7811 Å
α = 90.00°, β = 90.00°, γ = 90.00°
Closest atoms and distances in Å follow each position.
Atoms (fractional coordinates):
Pm 0.0000 0.0000 0.0000  8 Al 3.20
Pm 0.0000 0.0000 0.2508  8 Al 3.20-3.21
Pm 0.0000 0.0000 0.7492  8 Al 3.20-3.21
Sm 0.0000 0.0000 0.5000  8 Al 3.19
Al 0.5000 0.5000 0.1254  8 Pm 3.20
Al 0.5000 0.5000 0.3765  4 Sm 3.19, 4 Pm 3.21
Al 0.5000 0.5000 0.6235  4 Sm 3.19, 4 Pm 3.21
Al 0.5000 0.5000 0.8746  8 Pm 3.20

Properties
SG: No. 123
Total magnetic moment, Bohr magnetons per cell: 0.0
Raw total energy, eV per atom: -4.61



VASP calculation (GGA-PBE) on Pm9Sm4Al11 after structural relaxation.

a = 13.7824 Å, b = 13.7824 Å, c = 3.4795 Å
α = 90.00°, β = 90.00°, γ = 110.17°
Closest atoms and distances in Å follow each position.
Atoms (fractional coordinates):
Pm 0.0000 0.0000 0.0000  4 Al 3.25, 4 Sm 3.36, 2 Pm 3.48
Pm 0.1128 0.6617 0.0000  8 Al 3.18-3.43, 1 Sm 3.36, 3 Pm 3.48-3.56
Pm 0.2961 0.4866 0.0000  8 Al 3.15-3.28, 1 Sm 3.41, 3 Pm 3.43-3.48
Pm 0.3383 0.8872 0.0000  8 Al 3.18-3.43, 1 Sm 3.36, 3 Pm 3.48-3.56
Pm 0.4866 0.2961 0.0000  8 Al 3.15-3.28, 1 Sm 3.41, 3 Pm 3.43-3.48
Pm 0.5134 0.7039 0.0000  8 Al 3.15-3.28, 1 Sm 3.41, 3 Pm 3.43-3.48
Pm 0.6617 0.1128 0.0000  8 Al 3.18-3.43, 1 Sm 3.36, 3 Pm 3.48-3.56
Pm 0.7039 0.5134 0.0000  8 Al 3.15-3.28, 1 Sm 3.41, 3 Pm 3.43-3.48
Pm 0.8872 0.3383 0.0000  8 Al 3.18-3.43, 1 Sm 3.36, 3 Pm 3.48-3.56
Sm 0.0920 0.2594 0.0000  6 Al 3.20-3.38, 3 Pm 3.36-3.41, 2 Sm 3.48
Sm 0.2594 0.0920 0.0000  6 Al 3.20-3.38, 3 Pm 3.36-3.41, 2 Sm 3.48
Sm 0.7406 0.9080 0.0000  6 Al 3.20-3.38, 3 Pm 3.36-3.41, 2 Sm 3.48
Sm 0.9080 0.7406 0.0000  6 Al 3.20-3.38, 3 Pm 3.36-3.41, 2 Sm 3.48
Al 0.0863 0.4588 0.5000  1 Al 2.97, 6 Pm 3.19-3.28, 2 Sm 3.28
Al 0.1214 0.8786 0.5000  6 Pm 3.25-3.43, 4 Sm 3.38, 2 Al 3.48
Al 0.2962 0.2962 0.5000  4 Pm 3.15, 4 Sm 3.20, 3 Al 3.21-3.48
Al 0.3133 0.6867 0.5000  8 Pm 3.18-3.20, 2 Al 3.48
Al 0.4588 0.0863 0.5000  1 Al 2.97, 6 Pm 3.19-3.28, 2 Sm 3.28
Al 0.5000 0.5000 0.5000  4 Al 3.21-3.48, 8 Pm 3.26
Al 0.5412 0.9137 0.5000  1 Al 2.97, 6 Pm 3.19-3.28, 2 Sm 3.28
Al 0.6867 0.3133 0.5000  8 Pm 3.18-3.20, 2 Al 3.48
Al 0.7038 0.7038 0.5000  4 Pm 3.15, 4 Sm 3.20, 3 Al 3.21-3.48
Al 0.8786 0.1214 0.5000  6 Pm 3.25-3.43, 4 Sm 3.38, 2 Al 3.48
Al 0.9137 0.5412 0.5000  1 Al 2.97, 6 Pm 3.19-3.28, 2 Sm 3.28

Properties
SG: No. 65
Total magnetic moment, Bohr magnetons per cell: 0.0
Raw total energy, eV per atom: -4.58



VASP calculation (GGA-PBE) on Pm6Sm2Al after structural relaxation.

a = 9.9970 Å, b = 9.9970 Å, c = 3.5797 Å
α = 94.02°, β = 94.02°, γ = 57.08°
Closest atoms and distances in Å follow each position.
Atoms (fractional coordinates):
Pm 0.1674 0.5058 0.5266  5 Pm 3.23-3.58, 1 Al 3.30, 1 Sm 3.58
Pm 0.2161 0.7839 0.0000  2 Al 3.25, 4 Pm 3.40-3.58
Pm 0.4942 0.8326 0.4734  5 Pm 3.23-3.58, 1 Al 3.30, 1 Sm 3.58
Pm 0.5058 0.1674 0.5266  5 Pm 3.23-3.58, 1 Al 3.30, 1 Sm 3.58
Pm 0.7839 0.2161 0.0000  2 Al 3.25, 4 Pm 3.40-3.58
Pm 0.8326 0.4942 0.4734  5 Pm 3.23-3.58, 1 Al 3.30, 1 Sm 3.58
Sm 0.1748 0.1748 0.9470  2 Sm 3.58, 10 Pm 3.58-3.75
Sm 0.8252 0.8252 0.0530  2 Sm 3.58, 10 Pm 3.58-3.75
Al 0.5000 0.5000 0.5000  8 Pm 3.25-3.30, 2 Al 3.58

Properties
SG: No. 12
Total magnetic moment, Bohr magnetons per cell: 0.0
Raw total energy, eV per atom: -4.56



What is the formula in the first record? Pm3SmAl4